#w
DFT (PBE-GGA) results for crystalline Pr8TlPd2 at its relaxed geometry.

abc: 5.1306 8.1275 9.3027
angles: 113.46 106.01 90.00
With the nearest neighbours (Å) after each atom.
Fractional coordinates of all 11 atoms:
Pr 0.5930 0.4628 0.1860  2 Pd 3.13, 1 Tl 3.43
Pr 0.3176 0.0245 0.6353  1 Pd 2.93
Pr 0.1874 0.2914 0.3749  1 Pd 2.90
Pr 0.0492 0.7623 0.0983  1 Pd 3.04
Pr 0.8126 0.7086 0.6251  1 Pd 2.90
Pr 0.6824 0.9755 0.3647  1 Pd 2.93
Pr 0.4070 0.5372 0.8140  2 Pd 3.13, 1 Tl 3.43
Pr 0.9508 0.2377 0.9017  1 Pd 3.04
Tl 0.5000 0.0000 0.0000  8 Pr 3.35-3.53
Pd 0.1917 0.6514 0.3835  5 Pr 2.90-3.13
Pd 0.8083 0.3486 0.6165  5 Pr 2.90-3.13

## Properties
Its space group is No. 12. Its crystal system is monoclinic.



#x
DFT (PBE-GGA) results for crystalline Pr8TlPd2 at its relaxed geometry.

abc: 5.6847 8.3841 8.3841
angles: 114.92 98.34 98.34
With the nearest neighbours (Å) after each atom.
Fractional coordinates of all 11 atoms:
Pr 0.9261 0.9196 0.6751  2 Pd 3.01-3.13
Pr 0.9261 0.6751 0.9196  2 Pd 3.01-3.13
Pr 0.3102 0.6080 0.6080  2 Pd 3.27, 4 Pr 3.27-3.56, 1 Tl 3.41
Pr 0.5000 0.7562 0.2438  2 Pd 2.97
Pr 0.5000 0.2438 0.7562  2 Pd 2.97
Pr 0.6898 0.3920 0.3920  2 Pd 3.27, 4 Pr 3.27-3.56, 1 Tl 3.41
Pr 0.0739 0.3249 0.0804  2 Pd 3.01-3.13
Pr 0.0739 0.0804 0.3249  2 Pd 3.01-3.13
Tl 0.5000 0.0000 0.0000  8 Pr 3.41-3.71
Pd 0.0000 0.3052 0.6948  8 Pr 2.97-3.27
Pd 0.0000 0.6948 0.3052  8 Pr 2.97-3.27

## Properties
Its space group is No. 12. Its crystal system is monoclinic.



Relative energies, in eV/atom, with the most stable structure set to zero: #w 0.000; #x 0.070.



#w
DFT (PBE-GGA) results for crystalline Pr2TmPd at its relaxed geometry.

abc: 3.6822 3.6822 11.0529
angles: 80.41 80.41 60.00
With the nearest neighbours (Å) after each atom.
Fractional coordinates of all 4 atoms:
Pr 0.1046 0.1046 0.6862  3 Pd 2.93
Pr 0.8954 0.8954 0.3138  3 Pd 2.93
Tm 0.0000 0.0000 0.0000  2 Pr 3.40, 6 Tm 3.68
Pd 0.5000 0.5000 0.5000  6 Pr 2.93

## Properties
Its space group is No. 166. Its crystal system is trigonal.



#x
DFT (PBE-GGA) results for crystalline Pr2TmPd at its relaxed geometry.

abc: 3.7408 3.7408 8.2803
angles: 90.00 90.00 90.00
With the nearest neighbours (Å) after each atom.
Fractional coordinates of all 4 atoms:
Pr 0.0000 0.0000 0.7915  4 Pd 3.16, 1 Pr 3.45
Pr 0.0000 0.0000 0.2085  4 Pd 3.16, 1 Pr 3.45
Tm 0.5000 0.5000 0.5000  8 Pr 3.58, 4 Tm 3.74
Pd 0.5000 0.5000 0.0000  8 Pr 3.16

## Properties
Its space group is No. 123. Its crystal system is tetragonal.



#y
DFT (PBE-GGA) results for crystalline Pr2TmPd at its relaxed geometry.

abc: 5.1110 3.6089 8.8236
angles: 90.04 90.02 44.91
With the nearest neighbours (Å) after each atom.
Fractional coordinates of all 4 atoms:
Pr 0.8778 0.9988 0.5392  8 Pr 3.61-3.75, 4 Tm 3.68-3.69
Pr 0.3776 0.9998 0.2281  4 Pd 3.23-3.24, 1 Tm 3.42, 4 Pr 3.61
Tm 0.3778 0.9990 0.8406  4 Pd 2.92-2.93
Pd 0.8776 0.9995 0.0029  4 Tm 2.92-2.93, 4 Pr 3.23-3.24

## Properties
Its space group is No. 35. Its crystal system is orthorhombic.



Relative energies, in eV/atom, with the most stable structure set to zero: #w 0.382; #x 0.091; #y 0.000.



#w
DFT (PBE-GGA) results for crystalline PrTmPd2 at its relaxed geometry.

abc: 4.1993 4.1993 6.9693
angles: 72.47 72.47 60.00
With the nearest neighbours (Å) after each atom.
Fractional coordinates of all 4 atoms:
Pr 0.5000 0.5000 0.5000  6 Pd 3.02
Tm 0.0000 0.0000 0.0000  6 Pd 2.83
Pd 0.7416 0.7416 0.7753  3 Tm 2.83, 3 Pr 3.02
Pd 0.2584 0.2584 0.2247  3 Tm 2.83, 3 Pr 3.02

## Properties
Its space group is No. 166. Its crystal system is trigonal.



#x
DFT (PBE-GGA) results for crystalline PrTmPd2 at its relaxed geometry.

abc: 7.0699 5.6607 9.3146
angles: 90.00 90.05 90.00
With the nearest neighbours (Å) after each atom.
Fractional coordinates of all 16 atoms:
Pr 0.1814 0.3583 0.1301  7 Pd 2.93-3.15
Pr 0.3186 0.8583 0.8699  7 Pd 2.93-3.15
Pr 0.6814 0.1417 0.1301  7 Pd 2.93-3.15
Pr 0.8186 0.6417 0.8699  7 Pd 2.93-3.15
Tm 0.6837 0.1445 0.6198  7 Pd 2.94-3.05
Tm 0.1837 0.3555 0.6198  7 Pd 2.94-3.05
Tm 0.3163 0.8555 0.3802  7 Pd 2.94-3.05
Tm 0.8163 0.6445 0.3802  7 Pd 2.94-3.05
Pd 0.5424 0.6537 0.1346  5 Pr 2.93-3.15, 2 Pd 2.96-3.11, 2 Tm 3.00-3.02
Pd 0.0424 0.8463 0.1346  5 Pr 2.93-3.15, 2 Pd 2.96-3.11, 2 Tm 3.00-3.02
Pd 0.9579 0.1540 0.3834  2 Pd 2.85-2.96, 5 Tm 2.94-3.05, 2 Pr 3.06-3.07
Pd 0.9576 0.1537 0.8654  5 Pr 2.93-3.15, 2 Pd 2.96-3.11, 2 Tm 3.00-3.02
Pd 0.0421 0.8460 0.6166  2 Pd 2.85-2.96, 5 Tm 2.94-3.05, 2 Pr 3.06-3.07
Pd 0.5421 0.6540 0.6166  2 Pd 2.85-2.96, 5 Tm 2.94-3.05, 2 Pr 3.06-3.07
Pd 0.4576 0.3463 0.8654  5 Pr 2.93-3.15, 2 Pd 2.96-3.11, 2 Tm 3.00-3.02
Pd 0.4579 0.3460 0.3834  2 Pd 2.85-2.96, 5 Tm 2.94-3.05, 2 Pr 3.06-3.07

## Properties
Its space group is No. 14. Its crystal system is monoclinic.



Relative energies, in eV/atom, with the most stable structure set to zero: #w 0.146; #x 0.000.



#w
DFT (PBE-GGA) results for crystalline PrTmPd2 at its relaxed geometry.

abc: 3.4785 3.4785 7.3937
angles: 90.00 90.00 90.00
With the nearest neighbours (Å) after each atom.
Fractional coordinates of all 4 atoms:
Pr 0.5000 0.5000 0.5000  8 Pd 3.21, 4 Pr 3.48
Tm 0.5000 0.5000 0.0000  8 Pd 2.95
Pd 0.0000 0.0000 0.7796  4 Tm 2.95, 4 Pr 3.21, 1 Pd 3.26
Pd 0.0000 0.0000 0.2204  4 Tm 2.95, 4 Pr 3.21, 1 Pd 3.26

## Properties
Its space group is No. 123. Its crystal system is tetragonal.



#x
DFT (PBE-GGA) results for crystalline PrTmPd2 at its relaxed geometry.

abc: 5.0415 5.0415 5.0415
angles: 60.00 60.00 60.00
With the nearest neighbours (Å) after each atom.
Fractional coordinates of all 4 atoms:
Pr 0.5000 0.5000 0.5000  8 Pd 3.09
Tm 0.0000 0.0000 0.0000  8 Pd 3.09
Pd 0.2500 0.2500 0.2500  4 Pr 3.09, 4 Tm 3.09
Pd 0.7500 0.7500 0.7500  4 Pr 3.09, 4 Tm 3.09

## Properties
Its space group is No. 225. Its crystal system is cubic.



Relative energies, in eV/atom, with the most stable structure set to zero: #w 0.000; #x 0.022.



#w
DFT (PBE-GGA) results for crystalline Pr2TmPd2 at its relaxed geometry.

abc: 4.0117 6.8451 10.2770
angles: 81.55 78.74 72.96
With the nearest neighbours (Å) after each atom.
Fractional coordinates of all 10 atoms:
Pr 0.3298 0.2623 0.0782  4 Pd 2.99-3.32
Pr 0.4557 0.3934 0.6952  6 Pd 3.08-3.30
Pr 0.6702 0.7377 0.9218  4 Pd 2.99-3.32
Pr 0.5443 0.6066 0.3048  6 Pd 3.08-3.30
Tm 0.7943 0.0516 0.3599  4 Pd 2.79-2.88
Tm 0.2057 0.9484 0.6401  4 Pd 2.79-2.88
Pd 0.9885 0.1439 0.8791  1 Tm 2.83, 1 Pd 2.93, 4 Pr 2.99-3.09
Pd 0.1244 0.3037 0.4474  3 Tm 2.79-2.88, 1 Pd 2.87, 2 Pr 3.08
Pd 0.0115 0.8561 0.1209  1 Tm 2.83, 1 Pd 2.93, 4 Pr 2.99-3.09
Pd 0.8756 0.6963 0.5526  3 Tm 2.79-2.88, 1 Pd 2.87, 2 Pr 3.08

## Properties
Its space group is No. 12. Its crystal system is monoclinic.



#x
DFT (PBE-GGA) results for crystalline Pr2TmPd2 at its relaxed geometry.

abc: 4.1374 7.9024 7.9024
angles: 90.00 90.00 90.00
With the nearest neighbours (Å) after each atom.
Fractional coordinates of all 10 atoms:
Pr 0.5000 0.1699 0.6699  6 Pd 3.04-3.17
Pr 0.5000 0.6699 0.8301  6 Pd 3.04-3.17
Pr 0.5000 0.8301 0.3301  6 Pd 3.04-3.17
Pr 0.5000 0.3301 0.1699  6 Pd 3.04-3.17
Tm 0.0000 0.0000 0.0000  4 Pd 3.10
Tm 0.0000 0.5000 0.5000  4 Pd 3.10
Pd 0.0000 0.3693 0.8693  1 Pd 2.92, 6 Pr 3.04-3.17, 2 Tm 3.10
Pd 0.0000 0.8693 0.6307  1 Pd 2.92, 6 Pr 3.04-3.17, 2 Tm 3.10
Pd 0.0000 0.6307 0.1307  1 Pd 2.92, 6 Pr 3.04-3.17, 2 Tm 3.10
Pd 0.0000 0.1307 0.3693  1 Pd 2.92, 6 Pr 3.04-3.17, 2 Tm 3.10

## Properties
Its space group is No. 127. Its crystal system is tetragonal.



Relative energies, in eV/atom, with the most stable structure set to zero: #w 0.000; #x 0.023.